Entry from Alexandria: a relaxed structure of PdPtAu2 (PBE).

Cell lengths 3.228, 3.228, 6.451 Å; angles 90.00, 90.00, 90.00 degrees
Fractional positions:
Pd1 0.000 0.000 0.000
Pt1 0.000 0.000 0.500
Au1 0.500 0.500 0.249
Au2 0.500 0.500 0.751

relative energy among the computed polymorphs	24.6	meV per atom
ΔE_f	0.0308	eV/atom

Entry from Alexandria: a relaxed structure of Pd9Pt2Au (PBE).

Cell lengths 3.967, 3.967, 11.901 Å; angles 90.00, 90.00, 90.00 degrees
Fractional positions:
Pd1 0.000 0.000 0.000
Pd2 0.000 0.000 0.335
Pd3 0.000 0.000 0.665
Pd4 0.000 0.500 0.171
Pd5 0.000 0.500 0.500
Pd6 0.000 0.500 0.829
Pd7 0.500 0.000 0.171
Pd8 0.500 0.000 0.500
Pd9 0.500 0.000 0.829
Pt1 0.500 0.500 0.337
Pt2 0.500 0.500 0.663
Au1 0.500 0.500 0.000

ΔE_f	-0.0262	eV/atom